Entry 1:
Tl2V8O21: optimized geometry, PBE with a Hubbard U.

Raw total energy, eV/atom: -7.165
Symmetry: No. 12
Mass density, g/cm3: 4.45
Magnetization, μB/cell: 0.00

```
Tl2V8O21
1.0
7.769 -1.812 0.000
7.769 1.812 0.000
-0.068 0.000 15.265
Tl V O
2 8 21
direct
0.028 0.028 0.312
0.972 0.972 0.688
0.189 0.189 0.071
0.310 0.310 0.267
0.329 0.329 0.475
0.408 0.408 0.072
0.592 0.592 0.928
0.671 0.671 0.525
0.690 0.690 0.733
0.811 0.811 0.929
0.114 0.114 0.144
0.118 0.118 0.955
0.164 0.164 0.743
0.210 0.210 0.529
0.214 0.214 0.309
0.287 0.287 0.138
0.305 0.305 0.966
0.382 0.382 0.373
0.405 0.405 0.550
0.451 0.451 0.170
0.500 0.500 0.000
0.549 0.549 0.830
0.595 0.595 0.450
0.618 0.618 0.627
0.695 0.695 0.034
0.713 0.713 0.862
0.786 0.786 0.691
0.790 0.790 0.471
0.836 0.836 0.257
0.882 0.882 0.045
0.886 0.886 0.856
```

Entry 2:
TlVO4: optimized geometry, PBE with a Hubbard U.

Raw total energy, eV/atom: -6.170
Symmetry: No. 14
Mass density, g/cm3: 7.21
Magnetization, μB/cell: 0.00

```
TlVO4
1.0
5.690 0.000 0.000
0.000 4.904 0.000
-1.736 0.000 5.273
Tl V O
2 2 8
direct
0.000 0.000 0.000
0.000 0.500 0.500
0.500 0.000 0.500
0.500 0.500 0.000
0.179 0.145 0.399
0.179 0.355 0.899
0.397 0.725 0.716
0.397 0.775 0.216
0.603 0.225 0.784
0.603 0.275 0.284
0.821 0.645 0.101
0.821 0.855 0.601
```

Entry 3:
TlV2O: optimized geometry, PBE with a Hubbard U.

Energy relative to the lowest polymorph listed for this composition, eV/f.u.: 0.00
Symmetry: No. 122
Mass density, g/cm3: 5.95
Density of states at the Fermi level, states/eV per atom: 0.631
Magnetization, μB/cell: 12.26

```
TlV2O
1.0
-3.124 3.124 4.609
3.124 -3.124 4.609
3.124 3.124 -4.609
Tl V O
2 4 2
direct
0.000 0.000 0.000
0.750 0.250 0.500
0.373 0.625 0.248
0.375 0.623 0.748
0.377 0.125 0.752
0.875 0.627 0.252
0.250 0.750 0.500
0.500 0.500 0.000
```

Entry 4:
Tl3VO: optimized geometry, PBE with a Hubbard U.

Energy relative to the lowest polymorph listed for this composition, eV/f.u.: 0.00
Symmetry: No. 221
Mass density, g/cm3: 8.82
Density of states at the Fermi level, states/eV per atom: 0.515
Magnetization, μB/cell: 3.20

```
Tl3VO
1.0
5.040 0.000 0.000
0.000 5.040 0.000
0.000 0.000 5.040
Tl V O
3 1 1
direct
0.000 0.000 0.500
0.000 0.500 0.000
0.500 0.000 0.000
0.500 0.500 0.500
0.000 0.000 0.000
```

Entry 5:
TlV4O7: optimized geometry, PBE with a Hubbard U.

Raw total energy, eV/atom: -7.291
Symmetry: No. 31
Mass density, g/cm3: 3.95
Density of states at the Fermi level, states/eV per atom: 0.134
Magnetization, μB/cell: 14.00

```
TlV4O7
1.0
14.206 0.000 0.000
0.000 5.731 0.000
0.000 0.000 5.374
Tl V O
2 8 14
direct
0.000 0.183 0.000
0.500 0.817 0.500
0.120 0.682 0.362
0.247 0.178 0.356
0.253 0.822 0.856
0.380 0.318 0.862
0.620 0.318 0.862
0.747 0.822 0.856
0.753 0.178 0.356
0.880 0.682 0.362
0.000 0.785 0.279
0.141 0.369 0.294
0.143 0.728 0.694
0.213 0.880 0.199
0.287 0.120 0.699
0.357 0.272 0.194
0.359 0.631 0.794
0.500 0.215 0.779
0.641 0.631 0.794
0.643 0.272 0.194
0.713 0.120 0.699
0.787 0.880 0.199
0.857 0.728 0.694
0.859 0.369 0.294
```

Entry 6:
Tl5V3O10: optimized geometry, PBE with a Hubbard U.

Raw total energy, eV/atom: -6.147
Symmetry: No. 92
Mass density, g/cm3: 6.20
Density of states at the Fermi level, states/eV per atom: 0.000
Magnetization, μB/cell: 0.00

```
Tl5V3O10
1.0
8.422 0.000 0.000
0.000 8.422 0.000
0.000 0.000 20.173
Tl V O
20 12 40
direct
0.006 0.018 0.100
0.011 0.530 0.373
0.018 0.006 0.900
0.030 0.489 0.123
0.246 0.754 0.750
0.254 0.254 0.500
0.470 0.989 0.127
0.482 0.506 0.350
0.489 0.030 0.877
0.494 0.518 0.150
0.506 0.482 0.650
0.511 0.970 0.377
0.518 0.494 0.850
0.530 0.011 0.627
0.746 0.746 0.000
0.754 0.246 0.250
0.970 0.511 0.623
0.982 0.994 0.400
0.989 0.470 0.873
0.994 0.982 0.600
0.186 0.814 0.250
0.227 0.241 0.273
0.241 0.227 0.727
0.259 0.727 0.523
0.273 0.741 0.977
0.314 0.314 0.000
0.686 0.686 0.500
0.727 0.259 0.477
0.741 0.273 0.023
0.759 0.773 0.227
0.773 0.759 0.773
0.814 0.186 0.750
0.023 0.226 0.741
0.070 0.325 0.232
0.096 0.824 0.002
0.175 0.570 0.482
0.176 0.904 0.498
0.206 0.282 0.356
0.214 0.250 0.068
0.218 0.706 0.606
0.226 0.023 0.259
0.250 0.214 0.932
0.250 0.714 0.318
0.274 0.523 0.991
0.282 0.206 0.644
0.286 0.750 0.182
0.294 0.782 0.894
0.324 0.404 0.752
0.325 0.070 0.768
0.404 0.324 0.248
0.430 0.825 0.018
0.477 0.726 0.509
0.523 0.274 0.009
0.570 0.175 0.518
0.596 0.676 0.748
0.675 0.930 0.268
0.676 0.596 0.252
0.706 0.218 0.394
0.714 0.250 0.682
0.718 0.794 0.144
0.726 0.477 0.491
0.750 0.286 0.818
0.750 0.786 0.432
0.774 0.977 0.759
0.782 0.294 0.106
0.786 0.750 0.568
0.794 0.718 0.856
0.824 0.096 0.998
0.825 0.430 0.982
0.904 0.176 0.502
0.930 0.675 0.732
0.977 0.774 0.241
```